Record 1
VASP calculation (PBE+U) on an optimized crystal structure of DyCo3Sn4O12.

Geometry as CIF:
```
data_DyCo3Sn4O12
_cell_length_a 7.719
_cell_length_b 7.719
_cell_length_c 7.719
_cell_angle_alpha 90.00
_cell_angle_beta 90.00
_cell_angle_gamma 90.00
_symmetry_space_group_name_H-M 'I m -3'
_symmetry_Int_Tables_number 204
_symmetry_space_group_name_Hall '-I 2 2 3'
loop_
_atom_site_label
_atom_site_fract_x
_atom_site_fract_y
_atom_site_fract_z
_atom_site_occupancy
Dy1 0.000 0.000 0.000 1
Co1 0.000 0.000 0.500 1
Sn1 0.250 0.250 0.250 1
O1 0.000 0.165 0.301 1
```


Record 2
VASP calculation (PBE+U) on an optimized crystal structure of DyTlCoO3.

Geometry as CIF:
```
data_DyTlCoO3
_cell_length_a 3.147
_cell_length_b 16.224
_cell_length_c 7.491
_cell_angle_alpha 90.00
_cell_angle_beta 90.00
_cell_angle_gamma 90.00
_symmetry_space_group_name_H-M 'C m c m'
_symmetry_Int_Tables_number 63
_symmetry_space_group_name_Hall '-C 2c 2'
loop_
_atom_site_label
_atom_site_fract_x
_atom_site_fract_y
_atom_site_fract_z
_atom_site_occupancy
Dy1 0.000 0.000 0.000 1
Tl1 0.000 0.359 0.250 1
Co1 0.000 0.346 0.750 1
O1 0.000 0.124 0.084 1
O2 0.000 0.234 0.750 1
```


| no. | total energy (eV/atom) |
| --- | --- |
| 1 | -6.31 |
| 2 | -5.49 |